YTlHg2 | PBE | relaxed

Values from the calculation:
Calculated total energy (eV per atom): -2.5275
Density (g cm⁻³): 10.16
Symmetry: R-3m
Fermi-level density of states (states/eV/f.u.): 3.2
Energy of formation from the pure elements (eV per atom): -0.169

Geometry as POSCAR:
```
YTlHg2
1.0
1.867 1.078 9.405
-1.867 1.078 9.405
0.000 -2.155 9.405
Y Tl Hg
1 1 2
direct
0.000 0.000 0.000
0.500 0.500 0.500
0.253 0.253 0.253
0.747 0.747 0.747
```